Record 1
# BaBiS2F, optimized geometry, DFT PBE-GGA
data_BaBiS2F
_chemical_formula_sum 'Ba2 Bi2 S4 F2'
_cell_length_a 4.179
_cell_length_b 4.179
_cell_length_c 14.584
_cell_angle_alpha 90.00
_cell_angle_beta 90.00
_cell_angle_gamma 90.00
_symmetry_space_group_name_H-M 'P 4/n m m'
_symmetry_Int_Tables_number 129
loop_
_symmetry_equiv_pos_as_xyz
'x,y,z'
'-x,-y,-z'
'-y+1/2,x,z'
'y+1/2,-x,-z'
'-x+1/2,-y+1/2,z'
'x+1/2,y+1/2,-z'
'y,-x+1/2,z'
'-y,x+1/2,-z'
'x+1/2,-y,-z'
'-x+1/2,y,z'
'-y,-x,-z'
'y,x,z'
'-x,y+1/2,-z'
'x,-y+1/2,z'
'y+1/2,x+1/2,-z'
'-y+1/2,-x+1/2,z'
loop_
_atom_site_label
_atom_site_fract_x
_atom_site_fract_y
_atom_site_fract_z
Ba1 0.250 0.250 0.113
Bi1 0.250 0.250 0.624
S1 0.250 0.250 0.395
S2 0.250 0.250 0.795
F1 0.250 0.750 0.000
# Calculated total energy: -49.3 eV per cell
# M_tot: 0.00 μB per formula unit
# ΔE_f (raw): -8.743 eV/f.u.

=====

Record 2
# TbPm3Ir3, optimized geometry, DFT PBE-GGA
data_TbPm3Ir3
_chemical_formula_sum 'Tb4 Pm12 Ir12'
_cell_length_a 10.776
_cell_length_b 9.696
_cell_length_c 6.812
_cell_angle_alpha 90.00
_cell_angle_beta 101.34
_cell_angle_gamma 90.00
_symmetry_space_group_name_H-M 'C 1 2/m 1'
_symmetry_Int_Tables_number 12
loop_
_symmetry_equiv_pos_as_xyz
'x,y,z'
'-x,-y,-z'
'-x,y,-z'
'x,-y,z'
'x+1/2,y+1/2,z'
'-x+1/2,-y+1/2,-z'
'-x+1/2,y+1/2,-z'
'x+1/2,-y+1/2,z'
loop_
_atom_site_label
_atom_site_fract_x
_atom_site_fract_y
_atom_site_fract_z
Tb1 0.217 0.000 0.453
Pm1 0.000 0.190 0.000
Pm2 0.000 0.273 0.500
Pm3 0.201 0.500 0.007
Ir1 0.053 0.000 0.712
Ir2 0.247 0.249 0.750
# Formation energy from the elements: -0.5751 eV per atom
# Calculated total energy: -198.0 eV per cell
# M_tot: 0.00 μB per formula unit

=====

Record 3
# KPr2Mo2N6, optimized geometry, DFT PBE-GGA
data_KPr2Mo2N6
_chemical_formula_sum 'K1 Pr2 Mo2 N6'
_cell_length_a 6.435
_cell_length_b 6.714
_cell_length_c 6.863
_cell_angle_alpha 94.26
_cell_angle_beta 116.27
_cell_angle_gamma 115.76
_symmetry_space_group_name_H-M 'P -1'
_symmetry_Int_Tables_number 2
loop_
_symmetry_equiv_pos_as_xyz
'x,y,z'
'-x,-y,-z'
loop_
_atom_site_label
_atom_site_fract_x
_atom_site_fract_y
_atom_site_fract_z
K1 0.000 0.000 0.000
Pr1 0.374 0.677 0.290
Mo1 0.230 0.683 0.688
N1 0.130 0.675 0.905
N2 0.270 0.905 0.546
N3 0.462 0.589 0.699
# Calculated total energy: -87.8 eV per cell
# M_tot: 1.05 μB per formula unit
# ΔE_f (raw): -5.501 eV/f.u.

=====

Record 4
# Tb3Ga3Ir2, optimized geometry, DFT PBE-GGA
data_Tb3Ga3Ir2
_chemical_formula_sum 'Tb12 Ga12 Ir8'
_cell_length_a 7.887
_cell_length_b 15.179
_cell_length_c 5.615
_cell_angle_alpha 90.00
_cell_angle_beta 90.00
_cell_angle_gamma 90.00
_symmetry_space_group_name_H-M 'P n m a'
_symmetry_Int_Tables_number 62
loop_
_symmetry_equiv_pos_as_xyz
'x,y,z'
'-x,-y,-z'
'-x+1/2,-y,z+1/2'
'x+1/2,y,-z+1/2'
'x+1/2,-y+1/2,-z+1/2'
'-x+1/2,y+1/2,z+1/2'
'-x,y+1/2,-z'
'x,-y+1/2,z'
loop_
_atom_site_label
_atom_site_fract_x
_atom_site_fract_y
_atom_site_fract_z
Tb1 0.038 0.109 0.112
Tb2 0.173 0.250 0.630
Ga1 0.167 0.750 0.625
Ga2 0.176 0.037 0.603
Ir1 0.114 0.608 0.377
# Formation energy from the elements: -0.7716 eV per atom
# Calculated total energy: -187.5 eV per cell
# M_tot: 0.00 μB per formula unit

=====

Record 5
# MgSe3S, optimized geometry, DFT PBE-GGA
data_MgSe3S
_chemical_formula_sum 'Mg1 Se3 S1'
_cell_length_a 4.981
_cell_length_b 4.981
_cell_length_c 4.981
_cell_angle_alpha 90.00
_cell_angle_beta 90.00
_cell_angle_gamma 90.00
_symmetry_space_group_name_H-M 'P m -3 m'
_symmetry_Int_Tables_number 221
_symmetry_space_group_name_Hall '-P 4 2 3'
loop_
_atom_site_label
_atom_site_fract_x
_atom_site_fract_y
_atom_site_fract_z
Mg1 0.000 0.000 0.000
Se1 0.000 0.000 0.500
S1 0.500 0.500 0.500
# Calculated total energy: -13.3 eV per cell
# M_tot: 0.00 μB per formula unit
# ΔE_f (raw): 2.913 eV/f.u.

=====

Record 6
# YCuAgSe3, optimized geometry, DFT PBE-GGA
data_YCuAgSe3
_chemical_formula_sum 'Y2 Cu2 Ag2 Se6'
_cell_length_a 8.231
_cell_length_b 3.956
_cell_length_c 8.466
_cell_angle_alpha 90.00
_cell_angle_beta 99.12
_cell_angle_gamma 90.00
_symmetry_space_group_name_H-M 'P 1 21/m 1'
_symmetry_Int_Tables_number 11
loop_
_symmetry_equiv_pos_as_xyz
'x,y,z'
'-x,-y,-z'
'-x,y+1/2,-z'
'x,-y+1/2,z'
loop_
_atom_site_label
_atom_site_fract_x
_atom_site_fract_y
_atom_site_fract_z
Y1 0.173 0.250 0.229
Cu1 0.078 0.250 0.578
Ag1 0.344 0.750 0.843
Se1 0.084 0.250 0.868
Se2 0.235 0.750 0.508
Se3 0.407 0.750 0.163
# Calculated total energy: -56.7 eV per cell
# M_tot: 0.00 μB per formula unit
# ΔE_f (raw): -4.485 eV/f.u.